The following is a DFT calculation (GGA-PBE) of crystalline Cs3Na2PuF9 at its relaxed geometry. Values from VASP.

Properties
The calculated volume is 303.0 Å³ per cell. Its crystal system is trigonal. For the uncorrected formation energy, the calculation gives -3.018 eV per atom.

The structure in Quantum ESPRESSO input format:
```
&SYSTEM
  ibrav = 0, nat = 15, ntyp = 4
/
ATOMIC_SPECIES
Cs 132.91 Cs.upf
Na 22.99 Na.upf
Pu 244.00 Pu.upf
F 19.00 F.upf
CELL_PARAMETERS angstrom
6.5161 0.0000 0.0000
-3.2580 5.6431 0.0000
0.0000 0.0000 8.2402
ATOMIC_POSITIONS crystal
Cs 0.0000 0.0000 0.0000
Cs 0.3333 0.6667 0.7289
Cs 0.6667 0.3333 0.2711
Na 0.3333 0.6667 0.1520
Na 0.6667 0.3333 0.8480
Pu 0.0000 0.0000 0.5000
F 0.0000 0.5000 0.0000
F 0.1557 0.3115 0.3474
F 0.1557 0.8443 0.3474
F 0.3115 0.1557 0.6526
F 0.5000 0.0000 0.0000
F 0.5000 0.5000 0.0000
F 0.6885 0.8443 0.3474
F 0.8443 0.1557 0.6526
F 0.8443 0.6885 0.6526
```